1.
Below is a geometry-optimized TePPd4 structure, with properties calculated at the PBE-GGA level.

For the energy above the lowest structure with this stoichiometry, the calculation gives 19 meV per atom. The raw formation energy comes out at -0.31 eV/atom. The calculation puts the total energy at -124.6 eV per cell. The theoretical density is 9.51 g cm⁻³.

The space group is C2/c (No. 15) and the conventional cell measures 6.331, 9.240 and 7.128 Å, with angles of 90.00, 101.77 and 90.00 degrees. The asymmetric unit holds Te at (0.000, 0.088, 0.250), P at (0.000, 0.430, 0.250), Pd at (0.160, 0.394, 0.969) and Pd at (0.163, 0.178, 0.639).

2.
Below is a geometry-optimized TeP2Pd7 structure, with properties calculated at the PBE-GGA level.

The raw formation energy comes out at -0.40 eV/atom. The calculation puts the total energy at -108.6 eV per cell. The theoretical density is 9.55 g cm⁻³.

The space group is I4/mmm (No. 139) and the conventional cell measures 4.042, 4.042 and 19.889 Å, with angles of 90.00, 90.00 and 90.00 degrees. The asymmetric unit holds Te at (0.000, 0.000, 0.000), P at (0.000, 0.000, 0.325), Pd at (0.000, 0.000, 0.500), Pd at (0.000, 0.500, 0.109) and Pd at (0.000, 0.500, 0.250).

3.
Below is a geometry-optimized Te2PPd8 structure, with properties calculated at the PBE-GGA level.

The raw formation energy comes out at -0.30 eV/atom. The calculation puts the total energy at -113.2 eV per cell. The theoretical density is 10.20 g cm⁻³.

The space group is C2/m (No. 12) and the conventional cell measures 14.762, 4.483 and 6.006 Å, with angles of 90.00, 111.23 and 90.00 degrees. The asymmetric unit holds Te at (0.179, 0.000, 0.182), P at (0.000, 0.500, 0.500), Pd at (0.014, 0.000, 0.284), Pd at (0.105, 0.500, 0.899), Pd at (0.142, 0.500, 0.417) and Pd at (0.193, 0.000, 0.744).

4.
Below is a geometry-optimized TeP2Pd structure, with properties calculated at the PBE-GGA level.

The raw formation energy comes out at 0.15 eV/atom. The calculation puts the total energy at -74.3 eV per cell. The theoretical density is 5.13 g cm⁻³.

The space group is I-42d (No. 122) and the conventional cell measures 5.765, 5.765 and 11.536 Å, with angles of 90.00, 90.00 and 90.00 degrees. The asymmetric unit holds Te at (0.000, 0.000, 0.000), P at (0.195, 0.250, 0.625) and Pd at (0.000, 0.000, 0.500).

5.
Below is a geometry-optimized ThTe2P2Pd7 structure, with properties calculated at the PBE-GGA level.

The raw formation energy comes out at -0.48 eV/atom. The calculation puts the total energy at -133.4 eV per cell. The theoretical density is 9.12 g cm⁻³.

The space group is C2/m (No. 12) and the conventional cell measures 5.943, 6.923 and 11.481 Å, with angles of 90.00, 94.05 and 90.00 degrees. The asymmetric unit holds Th at (0.000, 0.000, 0.000), Te at (0.169, 0.000, 0.387), P at (0.189, 0.500, 0.186), Pd at (0.000, 0.500, 0.000), Pd at (0.139, 0.301, 0.789) and Pd at (0.151, 0.500, 0.393).

6.
Below is a geometry-optimized Th8Te4P3Pd structure, with properties calculated at the PBE-GGA level.

The raw formation energy comes out at -1.24 eV/atom. The calculation puts the total energy at -339.3 eV per cell. The theoretical density is 9.31 g cm⁻³.

The space group is R-3m (No. 166, hexagonal axes) and the conventional cell measures 8.4832, 8.4832 and 22.0313 Å, with angles of 90.00, 90.00 and 120.00 degrees. The asymmetric unit holds Th at (0.0000, 0.0000, 0.2358), Th at (0.0049, 0.5025, 0.7626), Te at (0.0000, 0.0000, 0.0000), Te at (0.0000, 0.5000, 0.0000), P at (0.0000, 0.5000, 0.5000) and Pd at (0.0000, 0.0000, 0.5000).

> Number 2 is which compound?

TeP2Pd7